# 1
This record from Alexandria describes crystalline TcSb2TeS at its relaxed geometry. The functional is PBE.

Cell and atoms, written as POSCAR:
```
TcSb2TeS
1.0
-0.316 1.655 -4.899
-5.080 0.819 0.605
0.954 4.771 1.550
Sb S Te Tc
2 1 1 1
Direct
0.000 0.500 0.000 Sb
0.500 0.000 0.000 Sb
0.000 0.000 0.000 S
0.000 0.000 0.500 Te
0.500 0.500 0.500 Tc
```

Computed properties:
D(E_F) in states/eV/f.u.: 3.502
Space-group type: P4/mmm
Energy relative to the elements, uncorrected in eV/f.u.: 5.475
Electronic total energy in eV per atom: -4.08

***

# 2
This record from Alexandria describes crystalline Cs3SrSn at its relaxed geometry. The functional is PBE.

Cell and atoms, written as POSCAR:
```
Cs3SrSn
1.0
7.571 0.000 0.000
0.000 7.571 0.000
0.000 0.000 7.571
Cs Sr Sn
3 1 1
Direct
0.000 0.500 0.000 Cs
0.000 0.000 0.500 Cs
0.500 0.000 0.000 Cs
0.500 0.500 0.500 Sr
0.000 0.000 0.000 Sn
```

Computed properties:
D(E_F) in states/eV/f.u.: 3.981
E_form in eV/atom: 0.212
Space-group type: Pm-3m
Electronic total energy in eV per atom: -1.44